Crystalline LiAlGe2 at its relaxed geometry, computed with GGA-PBE.

abc: 3.1370 3.1370 8.3900
angles: 79.23 79.23 60.00
Positions (direct):
Al 0.0000 0.0000 0.0000
Ge 0.2512 0.2512 0.2464
Ge 0.7488 0.7488 0.7536
Li 0.5000 0.5000 0.5000

The value obtained for the total magnetic moment is 0.0 μB/cell. The formation energy comes out at -74 meV/atom. The calculation puts the total energy at -15.2 eV/f.u. As for the energy above the most stable polymorph in this dataset: 0.0000 eV per atom.